Material: Ac3HoNi2O9
Method: DFT, GGA+U
State: optimized geometry

Output
density: 9.163 g cm⁻³
raw total energy: -6.9384 eV/atom
total magnetization: 0.1333 μB/atom
DOS(E_F): 2.64 states/eV/f.u.

Unit cell a=5.6970 b=5.6970 c=7.1389 alpha=90.00 beta=90.00 gamma=120.00
Element x y z (fractional)
Ni (0.6667, 0.3333, 0.8374)
O (0.8279, 0.6559, 0.6861)
O (0.1721, 0.8279, 0.3139)
Ac (0.6667, 0.3333, 0.3000)
Ho (0.0000, 0.0000, 0.5000)
Ac (0.0000, 0.0000, 0.0000)
O (0.6559, 0.8279, 0.3139)
O (0.8279, 0.1721, 0.6861)
O (0.5000, 0.5000, 0.0000)
O (0.1721, 0.3441, 0.3139)
Ni (0.3333, 0.6667, 0.1626)
Ac (0.3333, 0.6667, 0.7000)
O (0.3441, 0.1721, 0.6861)
O (0.0000, 0.5000, 0.0000)
O (0.5000, 0.0000, 0.0000)

Material: Ac2HoNiO6
Method: DFT, GGA+U
State: optimized geometry

Output
density: 9.068 g cm⁻³
raw total energy: -7.2460 eV/atom
total magnetization: 0.0998 μB/atom

Unit cell a=5.8085 b=5.6530 c=6.0173 alpha=118.02 beta=121.00 gamma=90.00
Element x y z (fractional)
O (0.2206, 0.7128, 0.9000)
O (0.7794, 0.8128, 0.1000)
Ac (0.7545, 0.7428, 0.4856)
O (0.7794, 0.2872, 0.1000)
O (0.3408, 0.7518, 0.5036)
O (0.6592, 0.2482, 0.4964)
Ac (0.2455, 0.2572, 0.5144)
Ho (0.0000, 0.5000, 0.0000)
O (0.2206, 0.1872, 0.9000)
Ni (0.5000, 0.0000, 0.0000)